No. 1
The following is a DFT calculation (GGA-PBE) of a relaxed NaUBeO5 crystal.

Energy (eV/atom): -7.58
Magnetization (μB per atom): 0.10

Geometry as CIF:
```
data_NaUBeO5
_cell_length_a 5.5993
_cell_length_b 5.5993
_cell_length_c 7.9155
_cell_angle_alpha 106.04
_cell_angle_beta 106.04
_cell_angle_gamma 103.97
_space_group_name_H-M_alt 'P 1'
_space_group_IT_number 1
loop_
_space_group_symop_operation_xyz
'x,y,z'
loop_
_atom_site_label
_atom_site_type_symbol
_atom_site_fract_x
_atom_site_fract_y
_atom_site_fract_z
_atom_site_occupancy
Na1 Na 0.3433 0.6567 0.2500 1
Na2 Na 0.6567 0.3433 0.7500 1
U1 U 0.0000 0.0000 0.5000 1
U2 U 0.0000 0.0000 0.0000 1
Be1 Be 0.6885 0.3115 0.2500 1
Be2 Be 0.3115 0.6885 0.7500 1
O1 O 0.0854 0.9146 0.2500 1
O2 O 0.9146 0.0854 0.7500 1
O3 O 0.8914 0.2981 0.1319 1
O4 O 0.1086 0.7019 0.8681 1
O5 O 0.7019 0.1086 0.3681 1
O6 O 0.2981 0.8914 0.6319 1
O7 O 0.7574 0.6153 0.3948 1
O8 O 0.2426 0.3847 0.6052 1
O9 O 0.3847 0.2426 0.1052 1
O10 O 0.6153 0.7574 0.8948 1
```

No. 2
The following is a DFT calculation (GGA-PBE) of a relaxed Li3Pu2ScSe6 crystal.

Energy (eV/atom): -6.59
Magnetization (μB per atom): 0.83

Geometry as CIF:
```
data_Li3Pu2ScSe6
_cell_length_a 7.0027
_cell_length_b 7.0027
_cell_length_c 6.8398
_cell_angle_alpha 99.81
_cell_angle_beta 99.81
_cell_angle_gamma 120.02
_space_group_name_H-M_alt 'P 1'
_space_group_IT_number 1
loop_
_space_group_symop_operation_xyz
'x,y,z'
loop_
_atom_site_label
_atom_site_type_symbol
_atom_site_fract_x
_atom_site_fract_y
_atom_site_fract_z
_atom_site_occupancy
Li1 Li 0.1647 0.8353 0.5000 1
Li2 Li 0.8353 0.1647 0.5000 1
Li3 Li 0.5000 0.5000 0.5000 1
Pu1 Pu 0.3330 0.6670 0.0000 1
Pu2 Pu 0.6670 0.3330 0.0000 1
Sc1 Sc 0.0000 0.0000 0.0000 1
Se1 Se 0.9161 0.5964 0.7482 1
Se2 Se 0.7633 0.7633 0.2490 1
Se3 Se 0.0839 0.4036 0.2518 1
Se4 Se 0.5964 0.9161 0.7482 1
Se5 Se 0.2367 0.2367 0.7510 1
Se6 Se 0.4036 0.0839 0.2518 1
```

No. 3
The following is a DFT calculation (GGA-PBE) of a relaxed Cu2TcAs crystal.

Energy (eV/atom): -5.46
Energy of formation (meV per atom): 345
Magnetization (μB per atom): 0.02

Geometry as CIF:
```
data_Cu2TcAs
_cell_length_a 8.5522
_cell_length_b 8.5522
_cell_length_c 8.5522
_cell_angle_alpha 18.90
_cell_angle_beta 18.90
_cell_angle_gamma 18.90
_space_group_name_H-M_alt 'P 1'
_space_group_IT_number 1
loop_
_space_group_symop_operation_xyz
'x,y,z'
loop_
_atom_site_label
_atom_site_type_symbol
_atom_site_fract_x
_atom_site_fract_y
_atom_site_fract_z
_atom_site_occupancy
As1 As 0.7500 0.7500 0.7500 1
Cu1 Cu 0.0004 0.0004 0.0004 1
Cu2 Cu 0.4996 0.4996 0.4996 1
Tc1 Tc 0.2500 0.2500 0.2500 1
```